# SmTm6Sc PBE relaxed
data_SmTm6Sc
_chemical_formula_sum 'Sm1 Tm6 Sc1'
_space_group_name_H-M_alt 'P 4/m m m'
_space_group_IT_number 123
_space_group_name_Hall '-P 4 2'
_cell_length_a 6.954
_cell_length_b 6.954
_cell_length_c 4.901
_cell_angle_alpha 90.00
_cell_angle_beta 90.00
_cell_angle_gamma 90.00
loop_
_atom_site_label
_atom_site_type_symbol
_atom_site_fract_x
_atom_site_fract_y
_atom_site_fract_z
_atom_site_occupancy
Sm1 Sm 0.000 0.000 0.000 1
Tm1 Tm 0.000 0.500 0.000 1
Tm2 Tm 0.254 0.254 0.500 1
Sc1 Sc 0.500 0.500 0.000 1
# ΔE_f in eV/atom: 0.035
# Energy above the most stable polymorph in this dataset in meV/atom: 0
# Volume in Å³ per cell: 237
# M_tot in μB per atom: 0.000
# Energy in eV per atom: -4.70